Arrangement w

# PBEsol BeMo2, optimized geometry
# Magnetic moment = 0.0 Bohr magnetons per cell
# D(E_F) = 1.49 states/eV/f.u.
data_BeMo2
_chemical_formula_sum 'Be4 Mo8'
_space_group_name_H-M_alt 'I 4/m c m'
_space_group_IT_number 140
_space_group_name_Hall '-I 4 2c'
_cell_length_a 5.6909
_cell_length_b 5.6909
_cell_length_c 4.7136
_cell_angle_alpha 90.00
_cell_angle_beta 90.00
_cell_angle_gamma 90.00
loop_
_atom_site_label
_atom_site_type_symbol
_atom_site_fract_x
_atom_site_fract_y
_atom_site_fract_z
Be1 Be 0.0000 0.0000 0.2500
Mo1 Mo 0.1668 0.3332 0.0000

=====

Arrangement x

# PBEsol BeMo2, optimized geometry
# Magnetic moment = 0.0 Bohr magnetons per cell
# D(E_F) = 1.71 states/eV/f.u.
data_BeMo2
_chemical_formula_sum 'Be4 Mo8'
_space_group_name_H-M_alt 'C 1 2/m 1'
_space_group_IT_number 12
_cell_length_a 8.9711
_cell_length_b 2.5826
_cell_length_c 7.5222
_cell_angle_alpha 90.00
_cell_angle_beta 115.32
_cell_angle_gamma 90.00
loop_
_space_group_symop_operation_xyz
'x,y,z'
'-x,-y,-z'
'-x,y,-z'
'x,-y,z'
'x+1/2,y+1/2,z'
'-x+1/2,-y+1/2,-z'
'-x+1/2,y+1/2,-z'
'x+1/2,-y+1/2,z'
loop_
_atom_site_label
_atom_site_type_symbol
_atom_site_fract_x
_atom_site_fract_y
_atom_site_fract_z
Be1 Be 0.1997 0.0000 0.0799
Mo1 Mo 0.0185 0.5000 0.2039
Mo2 Mo 0.1596 0.0000 0.6005

=====

Relative calculated energies, zero for the most stable structure, unit eV/atom: arrangement w 0.000; arrangement x 0.274.

=====

Arrangement w

# PBEsol Be2MoOs, optimized geometry
# Magnetic moment = 0.0 Bohr magnetons per cell
# D(E_F) = 3.29 states/eV/f.u.
data_Be2MoOs
_chemical_formula_sum 'Be8 Mo4 Os4'
_space_group_name_H-M_alt 'F m -3 m'
_space_group_IT_number 225
_space_group_name_Hall '-F 4 2 3'
_cell_length_a 5.6349
_cell_length_b 5.6349
_cell_length_c 5.6349
_cell_angle_alpha 90.00
_cell_angle_beta 90.00
_cell_angle_gamma 90.00
loop_
_atom_site_label
_atom_site_type_symbol
_atom_site_fract_x
_atom_site_fract_y
_atom_site_fract_z
Be1 Be 0.2500 0.2500 0.2500
Mo1 Mo 0.0000 0.0000 0.0000
Os1 Os 0.0000 0.0000 0.5000

=====

Arrangement x

# PBEsol Be2MoOs, optimized geometry
# Magnetic moment = 0.0 Bohr magnetons per cell
# D(E_F) = 2.62 states/eV/f.u.
data_Be2MoOs
_chemical_formula_sum 'Be2 Mo1 Os1'
_space_group_name_H-M_alt 'P 4/m m m'
_space_group_IT_number 123
_space_group_name_Hall '-P 4 2'
_cell_length_a 2.7878
_cell_length_b 2.7878
_cell_length_c 5.7966
_cell_angle_alpha 90.00
_cell_angle_beta 90.00
_cell_angle_gamma 90.00
loop_
_atom_site_label
_atom_site_type_symbol
_atom_site_fract_x
_atom_site_fract_y
_atom_site_fract_z
Be1 Be 0.0000 0.0000 0.2176
Mo1 Mo 0.5000 0.5000 0.5000
Os1 Os 0.5000 0.5000 0.0000

=====

Relative calculated energies, zero for the most stable structure, unit eV/atom: arrangement w 0.038; arrangement x 0.000.

=====

Arrangement w

# PBEsol BeMoP, optimized geometry
# Magnetic moment = 0.0 Bohr magnetons per cell
# D(E_F) = 3.26 states/eV/f.u.
data_BeMoP
_chemical_formula_sum 'Be4 Mo4 P4'
_space_group_name_H-M_alt 'F -4 3 m'
_space_group_IT_number 216
_space_group_name_Hall 'F -4 2 3'
_cell_length_a 5.5308
_cell_length_b 5.5308
_cell_length_c 5.5308
_cell_angle_alpha 90.00
_cell_angle_beta 90.00
_cell_angle_gamma 90.00
loop_
_atom_site_label
_atom_site_type_symbol
_atom_site_fract_x
_atom_site_fract_y
_atom_site_fract_z
Be1 Be 0.0000 0.0000 0.0000
Mo1 Mo 0.2500 0.2500 0.7500
P1 P 0.0000 0.0000 0.5000

=====

Arrangement x

# PBEsol BeMoP, optimized geometry
# Magnetic moment = 2.6 Bohr magnetons per cell
# D(E_F) = 3.47 states/eV/f.u.
data_BeMoP
_chemical_formula_sum 'Be4 Mo4 P4'
_space_group_name_H-M_alt 'F -4 3 m'
_space_group_IT_number 216
_space_group_name_Hall 'F -4 2 3'
_cell_length_a 5.2980
_cell_length_b 5.2980
_cell_length_c 5.2980
_cell_angle_alpha 90.00
_cell_angle_beta 90.00
_cell_angle_gamma 90.00
loop_
_atom_site_label
_atom_site_type_symbol
_atom_site_fract_x
_atom_site_fract_y
_atom_site_fract_z
Be1 Be 0.0000 0.0000 0.0000
Mo1 Mo 0.2500 0.2500 0.2500
P1 P 0.2500 0.2500 0.7500

=====

Relative calculated energies, zero for the most stable structure, unit eV/atom: arrangement w 0.000; arrangement x 0.048.

=====

Arrangement w

# PBEsol BeMo2Pb, optimized geometry
# Magnetic moment = 0.0 Bohr magnetons per cell
# D(E_F) = 3.40 states/eV/f.u.
data_BeMo2Pb
_chemical_formula_sum 'Be2 Mo4 Pb2'
_space_group_name_H-M_alt 'C m m m'
_space_group_IT_number 65
_space_group_name_Hall '-C 2 2'
_cell_length_a 5.2603
_cell_length_b 8.2047
_cell_length_c 2.9775
_cell_angle_alpha 90.00
_cell_angle_beta 90.00
_cell_angle_gamma 90.00
loop_
_atom_site_label
_atom_site_type_symbol
_atom_site_fract_x
_atom_site_fract_y
_atom_site_fract_z
Be1 Be 0.0000 0.0000 0.0000
Mo1 Mo 0.2500 0.2500 0.5000
Pb1 Pb 0.0000 0.5000 0.0000

=====

Arrangement x

# PBEsol BeMo2Pb, optimized geometry
# Magnetic moment = 0.0 Bohr magnetons per cell
# D(E_F) = 1.85 states/eV/f.u.
data_BeMo2Pb
_chemical_formula_sum 'Be1 Mo2 Pb1'
_space_group_name_H-M_alt 'P 4 m m'
_space_group_IT_number 99
_cell_length_a 3.1866
_cell_length_b 3.1866
_cell_length_c 6.3538
_cell_angle_alpha 90.00
_cell_angle_beta 90.00
_cell_angle_gamma 90.00
loop_
_space_group_symop_operation_xyz
'x,y,z'
'-y,x,z'
'-x,-y,z'
'y,-x,z'
'-x,y,z'
'y,x,z'
'x,-y,z'
'-y,-x,z'
loop_
_atom_site_label
_atom_site_type_symbol
_atom_site_fract_x
_atom_site_fract_y
_atom_site_fract_z
Be1 Be 0.0000 0.0000 0.0000
Mo1 Mo 0.0000 0.0000 0.3848
Mo2 Mo 0.5000 0.5000 0.1651
Pb1 Pb 0.5000 0.5000 0.6988

=====

Relative calculated energies, zero for the most stable structure, unit eV/atom: arrangement w 0.521; arrangement x 0.000.

=====

Arrangement w

# PBEsol BeMo2Pb, optimized geometry
# Magnetic moment = 0.0 Bohr magnetons per cell
# D(E_F) = 2.85 states/eV/f.u.
data_BeMo2Pb
_chemical_formula_sum 'Be2 Mo4 Pb2'
_space_group_name_H-M_alt 'C 1 2/m 1'
_space_group_IT_number 12
_cell_length_a 5.4288
_cell_length_b 8.8741
_cell_length_c 2.8572
_cell_angle_alpha 90.00
_cell_angle_beta 109.82
_cell_angle_gamma 90.00
loop_
_space_group_symop_operation_xyz
'x,y,z'
'-x,-y,-z'
'-x,y,-z'
'x,-y,z'
'x+1/2,y+1/2,z'
'-x+1/2,-y+1/2,-z'
'-x+1/2,y+1/2,-z'
'x+1/2,-y+1/2,z'
loop_
_atom_site_label
_atom_site_type_symbol
_atom_site_fract_x
_atom_site_fract_y
_atom_site_fract_z
Be1 Be 0.0000 0.0000 0.0000
Mo1 Mo 0.2500 0.2500 0.5000
Pb1 Pb 0.0000 0.5000 0.0000

=====

Arrangement x

# PBEsol BeMo2Pb, optimized geometry
# Magnetic moment = 0.0 Bohr magnetons per cell
# D(E_F) = 3.01 states/eV/f.u.
data_BeMo2Pb
_chemical_formula_sum 'Be1 Mo2 Pb1'
_space_group_name_H-M_alt 'P 1'
_space_group_IT_number 1
_cell_length_a 3.1848
_cell_length_b 4.5480
_cell_length_c 5.0994
_cell_angle_alpha 101.04
_cell_angle_beta 90.02
_cell_angle_gamma 110.32
loop_
_space_group_symop_operation_xyz
'x,y,z'
loop_
_atom_site_label
_atom_site_type_symbol
_atom_site_fract_x
_atom_site_fract_y
_atom_site_fract_z
Be1 Be 0.0000 0.0000 0.0000
Mo1 Mo 0.4647 0.9296 0.3647
Mo2 Mo 0.7447 0.4887 0.1828
Pb1 Pb 0.2361 0.4733 0.6989

=====

Relative calculated energies, zero for the most stable structure, unit eV/atom: arrangement w 0.113; arrangement x 0.000.

=====

Arrangement w

# PBEsol ScBeMo3, optimized geometry
# Magnetic moment = 0.0 Bohr magnetons per cell
# D(E_F) = 5.09 states/eV/f.u.
data_ScBeMo3
_chemical_formula_sum 'Sc1 Be1 Mo3'
_space_group_name_H-M_alt 'P m -3 m'
_space_group_IT_number 221
_space_group_name_Hall '-P 4 2 3'
_cell_length_a 4.4961
_cell_length_b 4.4961
_cell_length_c 4.4961
_cell_angle_alpha 90.00
_cell_angle_beta 90.00
_cell_angle_gamma 90.00
loop_
_atom_site_label
_atom_site_type_symbol
_atom_site_fract_x
_atom_site_fract_y
_atom_site_fract_z
Sc1 Sc 0.0000 0.0000 0.0000
Be1 Be 0.5000 0.5000 0.5000
Mo1 Mo 0.0000 0.0000 0.5000

=====

Arrangement x

# PBEsol ScBeMo3, optimized geometry
# Magnetic moment = 0.0 Bohr magnetons per cell
# D(E_F) = 5.97 states/eV/f.u.
data_ScBeMo3
_chemical_formula_sum 'Sc1 Be1 Mo3'
_space_group_name_H-M_alt 'P m -3 m'
_space_group_IT_number 221
_space_group_name_Hall '-P 4 2 3'
_cell_length_a 4.2940
_cell_length_b 4.2940
_cell_length_c 4.2940
_cell_angle_alpha 90.00
_cell_angle_beta 90.00
_cell_angle_gamma 90.00
loop_
_atom_site_label
_atom_site_type_symbol
_atom_site_fract_x
_atom_site_fract_y
_atom_site_fract_z
Sc1 Sc 0.0000 0.0000 0.0000
Be1 Be 0.5000 0.5000 0.5000
Mo1 Mo 0.0000 0.5000 0.5000

=====

Relative calculated energies, zero for the most stable structure, unit eV/atom: arrangement w 1.558; arrangement x 0.000.